First-principles (PBE) data for crystalline CsGe2MoPd at its relaxed geometry, as listed in Alexandria.

Lattice parameters (Å, degrees): 5.572 5.572 5.172 90.00 90.00 90.00
Space group P4/mmm (No. 123)
Asymmetric unit:
Cs  0.000  0.000  0.000 [1 per cell]
Ge  0.000  0.500  0.000 [2 per cell]
Mo  0.000  0.000  0.500 [1 per cell]
Pd  0.500  0.500  0.500 [1 per cell]

---

First-principles (PBE) data for crystalline CsSc2GeMo at its relaxed geometry, as listed in Alexandria.

Lattice parameters (Å, degrees): 5.212 5.212 4.915 90.00 90.00 90.00
Space group P4/mmm (No. 123)
Asymmetric unit:
Cs  0.000  0.000  0.000 [1 per cell]
Sc  0.000  0.500  0.000 [2 per cell]
Ge  0.500  0.500  0.500 [1 per cell]
Mo  0.000  0.000  0.500 [1 per cell]

---

| no. | energy relative to the elements (eV/f.u.) |
| --- | --- |
| 1 | 12.81 |
| 2 | 9.93 |